The following is a DFT calculation (GGA-PBEsol) of a relaxed Cs2AlAgCl6 crystal.

abc: 7.1316 7.1316 7.1316
angles: 60.00 60.00 60.00
Fractional coordinates of all 10 atoms:
Cl1 0.2676 0.7324 0.2676
Cl2 0.7324 0.2676 0.7324
Cl3 0.2676 0.7324 0.7324
Cs1 0.2500 0.2500 0.2500
Cl4 0.7324 0.7324 0.2676
Al1 0.5000 0.5000 0.5000
Cl5 0.7324 0.2676 0.2676
Cs2 0.7500 0.7500 0.7500
Ag1 0.0000 0.0000 0.0000
Cl6 0.2676 0.2676 0.7324

Calculated total energy in eV/atom: -3.67